KNpCu2F8 PBE optimized geometry; total moment = 2.0 μB/cell; uncorrected formation energy = -2.415 eV per atom; energy = -66.18 eV per formula unit
1.0
5.202 0.000 0.000
2.601 4.505 0.000
2.601 1.502 8.236
K Np Cu F
1 1 2 8
Direct
0.500 0.500 0.500
0.000 0.000 0.000
0.232 0.232 0.304
0.768 0.768 0.696
0.157 0.157 0.529
0.607 0.274 0.154
0.843 0.843 0.471
0.965 0.607 0.154
0.035 0.393 0.846
0.274 0.965 0.154
0.726 0.035 0.846
0.393 0.726 0.846